# 1
# CaAgP2

A relaxed CaAgP2 crystal (PBE-GGA, Alexandria).

Density of states at the Fermi level   0.307 states/eV/atom
Formation enthalpy at 0 K   -0.26 eV per atom
Symmetry   Cm (8)
ρ   4.47 g cm⁻³

abc: 10.3238 3.4167 4.7705
angles: 90.00 112.04 90.00
Closest atoms and distances in Å follow each position.
Sites, in units of the cell vectors:
Ca: 0.0000 0.0000 0.0000  7 P 2.83-3.08, 1 Ag 3.09
Ca: 0.5000 0.5000 0.0000  7 P 2.83-3.08, 1 Ag 3.09
Ag: 0.2122 0.0000 0.6615  3 P 2.71-2.72
Ag: 0.7122 0.5000 0.6615  3 P 2.71-2.72
P: 0.2546 0.5000 0.1304  2 P 2.41
P: 0.4129 0.0000 0.4222  2 P 2.41
P: 0.7546 0.0000 0.1304  2 P 2.41
P: 0.9129 0.5000 0.4222  2 P 2.41

# 2
# KTc3N

A relaxed KTc3N crystal (PBE-GGA, Alexandria).

Density of states at the Fermi level   1.045 states/eV/atom
Symmetry   Pm-3m (221)
ρ   6.39 g cm⁻³
Energy relative to the elements, uncorrected   21.246 eV/f.u.

abc: 4.4846 4.4846 4.4846
angles: 90.00 90.00 90.00
Closest atoms and distances in Å follow each position.
Sites, in units of the cell vectors:
K: 0.0000 0.0000 0.0000  6 Tc 2.24
Tc: 0.0000 0.0000 0.5000  2 K 2.24
Tc: 0.0000 0.5000 0.0000  2 K 2.24
Tc: 0.5000 0.0000 0.0000  2 K 2.24
N: 0.5000 0.5000 0.5000  12 Tc 3.17

# 3
# La6Si2NiCl3

A relaxed La6Si2NiCl3 crystal (PBE-GGA, Alexandria).

Density of states at the Fermi level   0.708 states/eV/atom
Symmetry   C2/m (12)
ρ   5.21 g cm⁻³
Energy relative to the elements, uncorrected   -13.690 eV/f.u.

abc: 9.4548 9.4548 8.6705
angles: 102.15 102.15 26.38
Closest atoms and distances in Å follow each position.
Sites, in units of the cell vectors:
La: 0.9996 0.9996 0.2414  1 Si 2.93, 2 Ni 3.01, 3 Cl 3.11-3.16
La: 0.0004 0.0004 0.7586  1 Si 2.93, 2 Ni 3.01, 3 Cl 3.11-3.16
La: 0.3295 0.3295 0.4219  3 Si 2.98-3.01, 3 Cl 3.06-3.15
La: 0.3503 0.3503 0.9061  1 Ni 2.70, 2 Si 3.00
La: 0.6497 0.6497 0.0939  1 Ni 2.70, 2 Si 3.00
La: 0.6705 0.6705 0.5781  3 Si 2.98-3.01, 3 Cl 3.06-3.15
Si: 0.1623 0.1623 0.3382  6 La 2.93-3.01
Si: 0.8377 0.8377 0.6618  6 La 2.93-3.01
Ni: 0.5000 0.5000 0.0000  6 La 2.70-3.01
Cl: 0.1761 0.1761 0.8446  6 La 3.14-3.16
Cl: 0.5000 0.5000 0.5000  6 La 3.06-3.11
Cl: 0.8239 0.8239 0.1554  6 La 3.14-3.16